Below is an optimized crystal structure of Sm5Er4Pu, with properties calculated at the PBE level.

Calculated values
Raw total energy in eV/atom: -5.56
DFT formation energy in eV per atom: 0.061
Total magnetization in μB per atom: 0.600

Structure (CIF):
```
data_Sm5Er4Pu
_chemical_formula_sum 'Sm10 Er8 Pu2'
_space_group_name_H-M_alt 'C 1 2/m 1'
_space_group_IT_number 12
_space_group_name_Hall '-C 2y'
_cell_length_a 16.8695
_cell_length_b 3.5172
_cell_length_c 11.3759
_cell_angle_alpha 90.00
_cell_angle_beta 108.93
_cell_angle_gamma 90.00
loop_
_atom_site_label
_atom_site_fract_x
_atom_site_fract_y
_atom_site_fract_z
Sm1 0.0000 0.0000 0.0000
Sm2 0.1866 0.5000 0.5770
Sm3 0.2108 0.5000 0.1153
Er1 0.0820 0.5000 0.7883
Er2 0.1048 0.0000 0.2990
Pu1 0.0000 0.0000 0.5000
```

---

Below is an optimized crystal structure of Sm8Er4Pu, with properties calculated at the PBE level.

Calculated values
Raw total energy in eV/atom: -4.92
DFT formation energy in eV per atom: 0.495
Total magnetization in μB per atom: 0.499

Structure (CIF):
```
data_Sm8Er4Pu
_chemical_formula_sum 'Sm24 Er12 Pu3'
_space_group_name_H-M_alt 'R -3 m'
_space_group_IT_number 166
_space_group_name_Hall '-R 3 2"'
_cell_length_a 11.0187
_cell_length_b 11.0187
_cell_length_c 13.4448
_cell_angle_alpha 90.00
_cell_angle_beta 90.00
_cell_angle_gamma 120.00
loop_
_atom_site_label
_atom_site_fract_x
_atom_site_fract_y
_atom_site_fract_z
Sm1 0.0000 0.0000 0.2438
Sm2 0.0080 0.5040 0.7474
Er1 0.0000 0.0000 0.0000
Er2 0.0000 0.5000 0.0000
Pu1 0.0000 0.0000 0.5000
```

---

Below is an optimized crystal structure of SmEr14Pu, with properties calculated at the PBE level.

Calculated values
Raw total energy in eV/atom: -5.14
DFT formation energy in eV per atom: 0.040
Total magnetization in μB per atom: 0.384

Structure (CIF):
```
data_SmEr14Pu
_chemical_formula_sum 'Sm1 Er14 Pu1'
_space_group_name_H-M_alt 'P 4/m m m'
_space_group_IT_number 123
_space_group_name_Hall '-P 4 2'
_cell_length_a 7.0156
_cell_length_b 7.0156
_cell_length_c 9.8906
_cell_angle_alpha 90.00
_cell_angle_beta 90.00
_cell_angle_gamma 90.00
loop_
_atom_site_label
_atom_site_fract_x
_atom_site_fract_y
_atom_site_fract_z
Sm1 0.0000 0.0000 0.0000
Er1 0.0000 0.0000 0.5000
Er2 0.0000 0.5000 0.0000
Er3 0.0000 0.5000 0.5000
Er4 0.2521 0.2521 0.2498
Er5 0.5000 0.5000 0.5000
Pu1 0.5000 0.5000 0.0000
```

---

Below is an optimized crystal structure of Sm10Er4Pu, with properties calculated at the PBE level.

Calculated values
Raw total energy in eV/atom: -5.07
DFT formation energy in eV per atom: 0.244
Total magnetization in μB per atom: 0.441

Structure (CIF):
```
data_Sm10Er4Pu
_chemical_formula_sum 'Sm20 Er8 Pu2'
_space_group_name_H-M_alt 'I 4/m m m'
_space_group_IT_number 139
_space_group_name_Hall '-I 4 2'
_cell_length_a 11.4188
_cell_length_b 11.4188
_cell_length_c 7.6765
_cell_angle_alpha 90.00
_cell_angle_beta 90.00
_cell_angle_gamma 90.00
loop_
_atom_site_label
_atom_site_fract_x
_atom_site_fract_y
_atom_site_fract_z
Sm1 0.0000 0.2116 0.2185
Sm2 0.0000 0.5000 0.2500
Er1 0.2341 0.2341 0.5000
Pu1 0.0000 0.0000 0.5000
```

---

Below is an optimized crystal structure of Sm8Er5Pu, with properties calculated at the PBE level.

Calculated values
Raw total energy in eV/atom: -5.08
DFT formation energy in eV per atom: 0.271
Total magnetization in μB per atom: 0.381

Structure (CIF):
```
data_Sm8Er5Pu
_chemical_formula_sum 'Sm16 Er10 Pu2'
_space_group_name_H-M_alt 'I -4'
_space_group_IT_number 82
_space_group_name_Hall 'I -4'
_cell_length_a 10.0638
_cell_length_b 10.0638
_cell_length_c 9.1315
_cell_angle_alpha 90.00
_cell_angle_beta 90.00
_cell_angle_gamma 90.00
loop_
_atom_site_label
_atom_site_fract_x
_atom_site_fract_y
_atom_site_fract_z
Sm1 0.0366 0.3409 0.0599
Sm2 0.1537 0.2476 0.7066
Er1 0.0000 0.0000 0.0000
Er2 0.0764 0.1524 0.3702
Pu1 0.0000 0.5000 0.7500
```

---

Below is an optimized crystal structure of SmErPu4, with properties calculated at the PBE level.

Calculated values
Raw total energy in eV/atom: -10.87
DFT formation energy in eV per atom: 0.235
Total magnetization in μB per atom: 3.771

Structure (CIF):
```
data_SmErPu4
_chemical_formula_sum 'Sm4 Er4 Pu16'
_space_group_name_H-M_alt 'F -4 3 m'
_space_group_IT_number 216
_space_group_name_Hall 'F -4 2 3'
_cell_length_a 8.7298
_cell_length_b 8.7298
_cell_length_c 8.7298
_cell_angle_alpha 90.00
_cell_angle_beta 90.00
_cell_angle_gamma 90.00
loop_
_atom_site_label
_atom_site_fract_x
_atom_site_fract_y
_atom_site_fract_z
Sm1 0.0000 0.0000 0.0000
Er1 0.2500 0.2500 0.7500
Pu1 0.1249 0.1249 0.3751
```

---

Below is an optimized crystal structure of Sm3Er6Pu, with properties calculated at the PBE level.

Calculated values
Raw total energy in eV/atom: -5.28
DFT formation energy in eV per atom: 0.308
Total magnetization in μB per atom: 0.630

Structure (CIF):
```
data_Sm3Er6Pu
_chemical_formula_sum 'Sm6 Er12 Pu2'
_space_group_name_H-M_alt 'C 1 2/m 1'
_space_group_IT_number 12
_space_group_name_Hall '-C 2y'
_cell_length_a 8.9812
_cell_length_b 8.5761
_cell_length_c 8.7922
_cell_angle_alpha 90.00
_cell_angle_beta 100.33
_cell_angle_gamma 90.00
loop_
_atom_site_label
_atom_site_fract_x
_atom_site_fract_y
_atom_site_fract_z
Sm1 0.0000 0.0000 0.0000
Sm2 0.2229 0.0000 0.7351
Er1 0.1171 0.1823 0.3586
Er2 0.1181 0.5000 0.8609
Pu1 0.0000 0.5000 0.5000
```

---

Below is an optimized crystal structure of Sm4Er8Pu, with properties calculated at the PBE level.

Calculated values
Raw total energy in eV/atom: -4.83
DFT formation energy in eV per atom: 0.535
Total magnetization in μB per atom: 0.529

Structure (CIF):
```
data_Sm4Er8Pu
_chemical_formula_sum 'Sm12 Er24 Pu3'
_space_group_name_H-M_alt 'R -3 m'
_space_group_IT_number 166
_space_group_name_Hall '-R 3 2"'
_cell_length_a 10.9312
_cell_length_b 10.9312
_cell_length_c 13.3285
_cell_angle_alpha 90.00
_cell_angle_beta 90.00
_cell_angle_gamma 120.00
loop_
_atom_site_label
_atom_site_fract_x
_atom_site_fract_y
_atom_site_fract_z
Sm1 0.0000 0.0000 0.0000
Sm2 0.0000 0.5000 0.0000
Er1 0.0000 0.0000 0.2440
Er2 0.0073 0.5037 0.7472
Pu1 0.0000 0.0000 0.5000
```

---

Below is an optimized crystal structure of Sm6Er8Pu, with properties calculated at the PBE level.

Calculated values
Raw total energy in eV/atom: -5.16
DFT formation energy in eV per atom: 0.115
Total magnetization in μB per atom: 0.433

Structure (CIF):
```
data_Sm6Er8Pu
_chemical_formula_sum 'Sm18 Er24 Pu3'
_space_group_name_H-M_alt 'R -3'
_space_group_IT_number 148
_space_group_name_Hall '-R 3'
_cell_length_a 9.0139
_cell_length_b 9.0139
_cell_length_c 20.4410
_cell_angle_alpha 90.00
_cell_angle_beta 90.00
_cell_angle_gamma 120.00
loop_
_atom_site_label
_atom_site_fract_x
_atom_site_fract_y
_atom_site_fract_z
Sm1 0.0710 0.2533 0.2080
Er1 0.0000 0.0000 0.0763
Er2 0.0823 0.5586 0.3069
Pu1 0.0000 0.0000 0.5000
```

---

Below is an optimized crystal structure of SmErPu2, with properties calculated at the PBE level.

Calculated values
Raw total energy in eV/atom: -9.30
DFT formation energy in eV per atom: 0.191
Total magnetization in μB per atom: 3.150
Offset from the most stable computed form in meV/atom: 4.3

Structure (CIF):
```
data_SmErPu2
_chemical_formula_sum 'Sm1 Er1 Pu2'
_space_group_name_H-M_alt 'P 4/m m m'
_space_group_IT_number 123
_space_group_name_Hall '-P 4 2'
_cell_length_a 4.8303
_cell_length_b 4.8303
_cell_length_c 5.0466
_cell_angle_alpha 90.00
_cell_angle_beta 90.00
_cell_angle_gamma 90.00
loop_
_atom_site_label
_atom_site_fract_x
_atom_site_fract_y
_atom_site_fract_z
Sm1 0.0000 0.0000 0.0000
Er1 0.5000 0.5000 0.0000
Pu1 0.0000 0.5000 0.5000
```

---

Below is an optimized crystal structure of Sm5Er6Pu, with properties calculated at the PBE level.

Calculated values
Raw total energy in eV/atom: -5.40
DFT formation energy in eV per atom: 0.042
Total magnetization in μB per atom: 0.534

Structure (CIF):
```
data_Sm5Er6Pu
_chemical_formula_sum 'Sm10 Er12 Pu2'
_space_group_name_H-M_alt 'C 1 2/m 1'
_space_group_IT_number 12
_space_group_name_Hall '-C 2y'
_cell_length_a 6.1539
_cell_length_b 10.6647
_cell_length_c 11.6633
_cell_angle_alpha 90.00
_cell_angle_beta 100.16
_cell_angle_gamma 90.00
loop_
_atom_site_label
_atom_site_fract_x
_atom_site_fract_y
_atom_site_fract_z
Sm1 0.0000 0.0000 0.0000
Sm2 0.0000 0.1665 0.5000
Sm3 0.0000 0.3329 0.0000
Er1 0.2464 0.5000 0.2524
Er2 0.2469 0.3356 0.7475
Pu1 0.0000 0.5000 0.5000
```

---

Below is an optimized crystal structure of Sm3Er3Pu, with properties calculated at the PBE level.

Calculated values
Raw total energy in eV/atom: -5.82
DFT formation energy in eV per atom: 0.208
Total magnetization in μB per atom: 0.890

Structure (CIF):
```
data_Sm3Er3Pu
_chemical_formula_sum 'Sm18 Er18 Pu6'
_space_group_name_H-M_alt 'R -3'
_space_group_IT_number 148
_space_group_name_Hall '-R 3'
_cell_length_a 6.1433
_cell_length_b 6.1433
_cell_length_c 42.4920
_cell_angle_alpha 90.00
_cell_angle_beta 90.00
_cell_angle_gamma 120.00
loop_
_atom_site_label
_atom_site_fract_x
_atom_site_fract_y
_atom_site_fract_z
Sm1 0.0001 0.3313 0.1310
Er1 0.0000 0.3332 0.2698
Pu1 0.0000 0.0000 0.3334
```

---

Density of states at the Fermi level
In order: 1.733; 1.530; 1.675; 1.491; 1.605; 4.628; 1.493; 1.650; 1.326; 3.812; 1.896; 2.347
Unit: states/eV per atom